Record 1
A plane-wave DFT calculation with GGA-PBE was carried out for a relaxed Pa3Cu4Si4 crystal.

Cell: 3.9948 4.0052 12.2231 Å, 80.57 80.59 90.00°
Positions (direct):
Pa (0.1462, 0.6462, 0.7078)
Pa (0.8538, 0.3538, 0.2922)
Pa (0.0000, 0.0000, 0.0000)
Cu (0.5974, 0.0974, 0.8057)
Cu (0.2500, 0.2496, 0.5005)
Cu (0.7501, 0.7504, 0.4995)
Cu (0.4026, 0.9027, 0.1943)
Si (0.5495, 0.5496, 0.9012)
Si (0.4505, 0.4504, 0.0988)
Si (0.3060, 0.8061, 0.3876)
Si (0.6941, 0.1940, 0.6124)

Computed properties:
total moment: 0.0 μB per formula unit
ΔE_f (raw): -0.4534 eV/atom
distance to the lowest polymorph of the same formula: 0 meV/atom


Record 2
A plane-wave DFT calculation with GGA-PBE was carried out for a relaxed Zn2SeBr crystal.

Cell: 3.7650 7.3664 3.6793 Å, 90.00 90.00 90.00°
Positions (direct):
Br (0.5000, 0.0000, 0.5000)
Se (0.0000, 0.5000, 0.5000)
Zn (0.0000, 0.0000, 0.0000)
Zn (0.5000, 0.5000, 0.0000)

Computed properties:
total moment: 0.0 μB per formula unit
ΔE_f (raw): -0.1493 eV/atom
distance to the lowest polymorph of the same formula: 212 meV/atom


Record 3
A plane-wave DFT calculation with GGA-PBE was carried out for a relaxed MgScB crystal.

Cell: 4.1076 4.1076 4.1076 Å, 60.00 60.00 60.00°
Positions (direct):
Sc (0.2500, 0.2500, 0.2500)
Mg (0.7500, 0.7500, 0.7500)
B (0.0000, 0.0000, 0.0000)

Computed properties:
total moment: 0.0 μB per formula unit
distance to the lowest polymorph of the same formula: 351 meV/atom
ΔH_f (0 K): -74 meV per atom


Record 4
A plane-wave DFT calculation with GGA-PBE was carried out for a relaxed CsAs12Au4 crystal.

Cell: 7.9609 7.9615 7.9611 Å, 109.47 109.47 109.47°
Positions (direct):
Cs (0.0000, 0.0000, 0.0000)
As (0.7753, 0.1394, 0.6359)
As (0.8606, 0.3641, 0.2247)
As (0.3641, 0.5035, 0.1394)
As (0.1394, 0.3641, 0.5035)
As (0.6359, 0.4965, 0.8606)
As (0.1394, 0.6359, 0.7753)
As (0.6359, 0.7754, 0.1394)
As (0.3641, 0.2246, 0.8606)
As (0.8606, 0.6359, 0.4965)
As (0.5035, 0.1394, 0.3641)
As (0.4965, 0.8606, 0.6359)
As (0.2247, 0.8606, 0.3641)
Au (0.0000, 0.5000, 0.0000)
Au (0.0000, 0.0000, 0.5000)
Au (0.5000, 0.0000, 0.0000)
Au (0.5000, 0.5000, 0.5000)

Computed properties:
total moment: 0.0 μB per formula unit
ΔH_f (0 K): -40 meV per atom


Record 5
A plane-wave DFT calculation with GGA-PBE was carried out for a relaxed Ta2AgAu crystal.

Cell: 4.9828 4.9828 5.1834 Å, 79.29 79.29 34.70°
Positions (direct):
Au (0.7452, 0.7452, 0.7507)
Ag (0.5014, 0.5014, 0.5000)
Ta (0.9958, 0.9958, 0.9991)
Ta (0.2577, 0.2577, 0.2503)

Computed properties:
total moment: 0.0 μB per formula unit
distance to the lowest polymorph of the same formula: 148 meV/atom
ΔH_f (0 K): 167 meV per atom


Record 6
A plane-wave DFT calculation with GGA-PBE was carried out for a relaxed InPt7 crystal.

Cell: 5.6711 5.6711 5.6711 Å, 60.00 60.00 60.00°
Positions (direct):
In (0.0000, 0.0000, 0.0000)
Pt (0.0000, 0.0000, 0.5000)
Pt (0.0000, 0.5000, 0.0000)
Pt (0.0000, 0.5000, 0.5000)
Pt (0.5000, 0.0000, 0.0000)
Pt (0.5000, 0.0000, 0.5000)
Pt (0.5000, 0.5000, 0.0000)
Pt (0.5000, 0.5000, 0.5000)

Computed properties:
total moment: 0.0 μB per formula unit
ΔH_f (0 K): -179 meV per atom


Record 7
A plane-wave DFT calculation with GGA-PBE was carried out for a relaxed B5C7 crystal.

Cell: 2.5986 4.6584 6.6344 Å, 91.22 90.00 90.00°
Positions (direct):
B (0.5000, 0.8151, 0.3471)
B (0.5000, 0.1997, 0.8929)
B (0.0000, 0.3267, 0.6328)
B (0.0000, 0.3227, 0.2733)
B (0.0000, 0.9885, 0.0222)
C (0.5000, 0.5043, 0.2296)
C (0.5000, 0.5262, 0.9976)
C (0.0000, 0.6755, 0.6770)
C (0.0000, 0.9956, 0.2588)
C (0.0000, 0.6663, 0.9145)
C (0.5000, 0.1547, 0.6559)
C (0.5000, 0.8246, 0.5981)

Computed properties:
total moment: 0.0 μB per formula unit
distance to the lowest polymorph of the same formula: 82 meV/atom
ΔH_f (0 K): 340 meV per atom


Record 8
A plane-wave DFT calculation with GGA-PBE was carried out for a relaxed PmPr2AlO crystal.

Cell: 4.8807 4.9851 4.9851 Å, 90.00 90.00 90.00°
Positions (direct):
Pm (0.5000, 0.0000, 0.0000)
Pr (0.0000, 0.0000, 0.5000)
Pr (0.0000, 0.5000, 0.0000)
Al (0.5000, 0.5000, 0.5000)
O (0.0000, 0.0000, 0.0000)

Computed properties:
total moment: 0.0 μB per formula unit
ΔE_f (raw): -1.3077 eV/atom


Record 9
A plane-wave DFT calculation with GGA-PBE was carried out for a relaxed BaBi2Ir2 crystal.

Cell: 4.8674 4.8674 6.4964 Å, 68.00 68.00 90.00°
Positions (direct):
Ir (0.3851, 0.3851, 0.2297)
Ir (0.6149, 0.6149, 0.7703)
Bi (0.7500, 0.2500, 0.5000)
Bi (0.2500, 0.7500, 0.5000)
Ba (0.0000, 0.0000, 0.0000)

Computed properties:
total moment: 0.0 μB per formula unit
ΔH_f (0 K): -135 meV per atom


Record 10
A plane-wave DFT calculation with GGA-PBE was carried out for a relaxed ZnTeO3 crystal.

Cell: 6.4526 7.5472 12.4250 Å, 90.00 90.00 90.00°
Positions (direct):
Zn (0.8790, 0.8907, 0.4100)
Zn (0.3790, 0.1093, 0.0900)
Zn (0.6210, 0.3907, 0.5900)
Zn (0.1210, 0.6093, 0.9100)
Zn (0.1210, 0.1093, 0.5900)
Zn (0.6210, 0.8907, 0.9100)
Zn (0.3790, 0.6093, 0.4100)
Zn (0.8790, 0.3907, 0.0900)
Te (0.9079, 0.9419, 0.1440)
Te (0.4079, 0.0581, 0.3560)
Te (0.5921, 0.4419, 0.8560)
Te (0.0921, 0.5581, 0.6440)
Te (0.0921, 0.0581, 0.8560)
Te (0.5921, 0.9419, 0.6440)
Te (0.4079, 0.5581, 0.1440)
Te (0.9079, 0.4419, 0.3560)
O (0.5252, 0.3422, 0.0889)
O (0.0252, 0.6578, 0.4111)
O (0.9748, 0.8422, 0.9111)
O (0.4748, 0.1578, 0.5889)
O (0.4748, 0.6578, 0.9111)
O (0.9748, 0.3422, 0.5889)
O (0.0252, 0.1578, 0.0889)
O (0.5252, 0.8422, 0.4111)
O (0.6537, 0.4606, 0.4341)
O (0.1537, 0.5394, 0.0659)
O (0.8463, 0.9606, 0.5659)
O (0.3463, 0.0394, 0.9341)
O (0.3463, 0.5394, 0.5659)
O (0.8463, 0.4606, 0.9341)
O (0.1537, 0.0394, 0.4341)
O (0.6537, 0.9606, 0.0659)
O (0.7995, 0.5282, 0.2233)
O (0.2995, 0.4718, 0.2767)
O (0.7005, 0.0282, 0.7767)
O (0.2005, 0.9718, 0.7233)
O (0.2005, 0.4718, 0.7767)
O (0.7005, 0.5282, 0.7233)
O (0.2995, 0.9718, 0.2233)
O (0.7995, 0.0282, 0.2767)

Computed properties:
total moment: 0.0 μB per formula unit
ΔE_f (raw): -1.2081 eV/atom


Record 11
A plane-wave DFT calculation with GGA-PBE was carried out for a relaxed KY2Cl crystal.

Cell: 5.9206 5.9206 5.9206 Å, 60.00 60.00 60.00°
Positions (direct):
Y (0.0000, 0.0000, 0.0000)
Y (0.2500, 0.2500, 0.2500)
K (0.7500, 0.7500, 0.7500)
Cl (0.5000, 0.5000, 0.5000)

Computed properties:
total moment: 2.8 μB per formula unit
ΔE_f (raw): 0.2981 eV/atom
distance to the lowest polymorph of the same formula: 944 meV/atom


Record 12
A plane-wave DFT calculation with GGA-PBE was carried out for a relaxed LaPrNd14 crystal.

Cell: 7.4152 7.4152 11.9468 Å, 90.00 90.00 119.92°
Positions (direct):
La (0.2079, 0.7921, 0.5000)
Pr (0.7074, 0.2926, 0.5000)
Nd (0.0414, 0.9586, 0.0000)
Nd (0.5420, 0.4580, 0.0000)
Nd (0.2088, 0.2922, 0.5000)
Nd (0.0418, 0.4571, 0.0000)
Nd (0.7078, 0.7912, 0.5000)
Nd (0.5429, 0.9582, 0.0000)
Nd (0.3749, 0.1252, 0.7518)
Nd (0.3749, 0.1252, 0.2482)
Nd (0.8748, 0.6251, 0.7518)
Nd (0.8748, 0.6251, 0.2482)
Nd (0.3753, 0.6247, 0.7512)
Nd (0.3753, 0.6247, 0.2488)
Nd (0.8750, 0.1250, 0.7494)
Nd (0.8750, 0.1250, 0.2506)

Computed properties:
total moment: 0.0 μB per formula unit
ΔH_f (0 K): 2 meV per atom


Record 13
A plane-wave DFT calculation with GGA-PBE was carried out for a relaxed TcHgPb2 crystal.

Cell: 7.5588 7.5588 7.5588 Å, 156.34 142.50 44.82°
Positions (direct):
Hg (0.2500, 0.7500, 0.5000)
Pb (0.9216, 0.9216, 0.0000)
Pb (0.5784, 0.5784, 0.0000)
Tc (0.7500, 0.2500, 0.5000)

Computed properties:
total moment: 0.5 μB per formula unit
ΔH_f (0 K): 412 meV per atom


Record 14
A plane-wave DFT calculation with GGA-PBE was carried out for a relaxed YHo15Tm4 crystal.

Cell: 4.9775 4.9775 24.8793 Å, 90.00 90.00 90.00°
Positions (direct):
Y (0.0000, 0.0000, 0.0000)
Ho (0.5000, 0.5000, 0.0000)
Ho (0.5000, 0.5000, 0.2008)
Ho (0.5000, 0.5000, 0.4002)
Ho (0.5000, 0.5000, 0.5998)
Ho (0.5000, 0.5000, 0.7992)
Ho (0.5000, 0.0000, 0.1011)
Ho (0.5000, 0.0000, 0.3005)
Ho (0.5000, 0.0000, 0.5000)
Ho (0.5000, 0.0000, 0.6995)
Ho (0.5000, 0.0000, 0.8989)
Ho (0.0000, 0.5000, 0.1011)
Ho (0.0000, 0.5000, 0.3005)
Ho (0.0000, 0.5000, 0.5000)
Ho (0.0000, 0.5000, 0.6995)
Ho (0.0000, 0.5000, 0.8989)
Tm (0.0000, 0.0000, 0.2007)
Tm (0.0000, 0.0000, 0.4002)
Tm (0.0000, 0.0000, 0.5998)
Tm (0.0000, 0.0000, 0.7993)

Computed properties:
total moment: 0.0 μB per formula unit
ΔH_f (0 K): 22 meV per atom


Record 15
A plane-wave DFT calculation with GGA-PBE was carried out for a relaxed Sr2TiRe2 crystal.

Cell: 4.0964 4.0964 7.7715 Å, 74.72 74.72 90.00°
Positions (direct):
Re (0.4239, 0.4239, 0.1523)
Re (0.5761, 0.5761, 0.8477)
Ti (0.0000, 0.0000, 0.0000)
Sr (0.7500, 0.2500, 0.5000)
Sr (0.2500, 0.7500, 0.5000)

Computed properties:
total moment: 0.0 μB per formula unit
distance to the lowest polymorph of the same formula: 729 meV/atom
ΔH_f (0 K): 1409 meV per atom


Record 16
A plane-wave DFT calculation with GGA-PBE was carried out for a relaxed Ag3W crystal.

Cell: 4.9954 4.9954 11.4890 Å, 148.96 148.96 31.88°
Positions (direct):
Ag (0.0087, 0.0087, 0.0065)
Ag (0.9913, 0.9913, 0.4935)
Ag (0.0000, 0.0000, 0.7500)
W (0.0000, 0.0000, 0.2500)

Computed properties:
total moment: 0.0 μB per formula unit
distance to the lowest polymorph of the same formula: 223 meV/atom
ΔH_f (0 K): 612 meV per atom


Record 17
A plane-wave DFT calculation with GGA-PBE was carried out for a relaxed CaPm6Sm3Er2 crystal.

Cell: 6.3169 6.3169 11.9619 Å, 95.02 95.02 120.00°
Positions (direct):
Ca (0.0000, 0.0000, 0.0000)
Pm (0.9158, 0.5747, 0.7503)
Pm (0.7433, 0.7433, 0.2502)
Pm (0.0842, 0.4253, 0.2497)
Pm (0.5747, 0.9158, 0.7503)
Pm (0.2567, 0.2567, 0.7498)
Pm (0.4253, 0.0842, 0.2497)
Sm (0.1664, 0.8336, 0.5000)
Sm (0.8336, 0.1664, 0.5000)
Sm (0.5000, 0.5000, 0.5000)
Er (0.3333, 0.6667, 0.0000)
Er (0.6667, 0.3333, 0.0000)

Computed properties:
total moment: 0.0 μB per formula unit
ΔH_f (0 K): 39 meV per atom


Record 18
A plane-wave DFT calculation with GGA-PBE was carried out for a relaxed La2NiAu crystal.

Cell: 6.8001 6.8000 6.8001 Å, 147.87 142.84 49.93°
Positions (direct):
Au (0.3078, 0.8078, 0.5000)
La (0.9996, 0.9996, 0.0000)
La (0.7152, 0.2152, 0.5000)
Ni (0.4774, 0.4774, 0.0000)

Computed properties:
total moment: 0.0 μB per formula unit
ΔH_f (0 K): -410 meV per atom


Record 19
A plane-wave DFT calculation with GGA-PBE was carried out for a relaxed Li6PrAu2 crystal.

Cell: 3.2328 8.0189 8.0189 Å, 56.68 78.43 78.43°
Positions (direct):
Li (0.3195, 0.9786, 0.3829)
Li (0.6805, 0.0214, 0.6171)
Li (0.6805, 0.6171, 0.0214)
Li (0.5000, 0.3535, 0.6465)
Li (0.5000, 0.6465, 0.3535)
Li (0.3195, 0.3829, 0.9786)
Pr (0.0000, 0.0000, 0.0000)
Au (0.1450, 0.3545, 0.3545)
Au (0.8550, 0.6455, 0.6455)

Computed properties:
total moment: 0.1 μB per formula unit
distance to the lowest polymorph of the same formula: 173 meV/atom
ΔH_f (0 K): -167 meV per atom


Record 20
A plane-wave DFT calculation with GGA-PBE was carried out for a relaxed MnHgI3 crystal.

Cell: 4.8727 4.8727 20.7646 Å, 90.00 90.00 120.00°
Positions (direct):
I (0.0000, 0.0000, 0.2500)
I (0.0000, 0.0000, 0.7500)
I (0.3333, 0.6667, 0.0661)
I (0.3333, 0.6667, 0.4339)
I (0.6667, 0.3333, 0.5661)
I (0.6667, 0.3333, 0.9339)
Mn (0.0000, 0.0000, 0.0000)
Mn (0.0000, 0.0000, 0.5000)
Hg (0.3333, 0.6667, 0.7500)
Hg (0.6667, 0.3333, 0.2500)

Computed properties:
total moment: 4.9 μB per formula unit
ΔE_f (raw): -0.0456 eV/atom
distance to the lowest polymorph of the same formula: 301 meV/atom